A relaxed structure of PuRuRh. Source: the Alexandria database, functional PBE.

a = 4.725 Å, b = 4.725 Å, c = 4.725 Å
α = 133.88°, β = 133.88°, γ = 67.27°
Fractional positions:
Pu1 0.000 0.000 0.000
Ru1 0.311 0.311 0.000
Rh1 0.671 0.671 0.000

Properties
Calculated formation energy, meV/atom: -59.1
Total magnetic moment, μB per atom: 1.098